5
Lattice="-2.2251 2.2251 7.2070 2.2251 -2.2251 7.2070 2.2251 2.2251 -7.2070" Properties=species:S:1:pos:R:3 comment="Y2ZnBr2 PBE relaxed" e_above_lowest_polymorph_ev_per_atom=0.000 magnetic_moment_mub_per_cell=0.00 pbc="T T T"
Y 0.0000 0.0000 1.6676
Y 0.0000 0.0000 12.7464
Zn 0.0000 0.0000 7.2070
Br 2.2251 0.0000 3.6035
Br 0.0000 2.2251 3.6035

---

12
Lattice="-2.6411 2.6411 5.7210 2.6411 -2.6411 5.7210 2.6411 2.6411 -5.7210" Properties=species:S:1:pos:R:3 comment="NaYTe2O8 PBE relaxed" magnetic_moment_mub_per_cell=0.00 pbc="T T T"
Na 0.0000 0.0000 0.0000
Y 2.6411 0.0000 2.8605
Te 0.0000 0.0000 5.7210
Te 0.0000 2.6411 2.8605
O 1.3482 0.9365 -1.9161
O 1.3036 -0.8572 4.7081
O 1.7839 1.3375 1.0129
O 1.7046 -1.2930 7.6371
O 1.3375 3.4983 -1.0129
O 1.2930 1.7046 3.8049
O 0.8572 1.3036 6.7339
O 0.9365 3.9341 1.9161

---

no.,E_form (uncorrected) (meV/atom)
1,-617
2,-1594